Entry 1:
The following is a DFT calculation (PBE) of a geometry-optimized BaSr2As6 structure.

Cell lengths 7.9887, 4.3966, 8.1401 Å; angles 90.00, 119.12, 90.00 degrees
Fractional coordinates of all 9 atoms:
Ba: 0.0000 0.0000 0.0000
Sr: 0.3292 0.0000 0.6720
Sr: 0.6708 0.0000 0.3280
As: 0.0362 0.5000 0.3630
As: 0.3452 0.5000 0.3392
As: 0.3544 0.5000 0.0134
As: 0.6456 0.5000 0.9866
As: 0.6548 0.5000 0.6608
As: 0.9638 0.5000 0.6370

Computed properties:
Calculated formation energy: -0.70 eV per atom
Space group: No. 10
Magnetization: 0.00 μB per cell
ρ: 5.1 Mg/m³

Entry 2:
The following is a DFT calculation (PBE) of a geometry-optimized MgCo2OsC structure.

Cell lengths 3.8596, 3.8596, 3.9944 Å; angles 90.00, 90.00, 90.00 degrees
Fractional coordinates of all 5 atoms:
Mg: 0.0000 0.0000 0.0000
Co: 0.0000 0.5000 0.5000
Co: 0.5000 0.0000 0.5000
Os: 0.5000 0.5000 0.0000
C: 0.5000 0.5000 0.5000

Computed properties:
Calculated formation energy: 0.07 eV per atom
Space group: No. 123
Magnetization: 1.94 μB per cell
ρ: 9.6 Mg/m³

Please write out number 2 again, unchanged.
The following is a DFT calculation (PBE) of a geometry-optimized MgCo2OsC structure.

Cell lengths 3.8596, 3.8596, 3.9944 Å; angles 90.00, 90.00, 90.00 degrees
Fractional coordinates of all 5 atoms:
Mg: 0.0000 0.0000 0.0000
Co: 0.0000 0.5000 0.5000
Co: 0.5000 0.0000 0.5000
Os: 0.5000 0.5000 0.0000
C: 0.5000 0.5000 0.5000

Computed properties:
Calculated formation energy: 0.07 eV per atom
Space group: No. 123
Magnetization: 1.94 μB per cell
ρ: 9.6 Mg/m³

The lowest magnetization belongs to which entry? BaSr2As6